1.
## NaTe2Au2 (GGA-PBE)

Data for NaTe2Au2 after structural relaxation.

```
NaTe2Au2
1.0
-2.128 2.128 7.438
2.128 -2.128 7.438
2.128 2.128 -7.438
Na Te Au
1 2 2
direct
0.000 0.000 0.000 Na
0.380 0.380 0.000 Te
0.620 0.620 0.000 Te
0.250 0.750 0.500 Au
0.750 0.250 0.500 Au
```

Output
Total DFT energy (no corrections) in eV/cell: -15.163
Formation energy from raw total energies in eV/atom: -0.201
Magnetic moment in μB per cell: 0.00
Crystal system: tetragonal
Density in Mg/m³: 8.282
Symmetry: I4/mmm, No. 139

=====

2.
## TcOs2Rh2 (GGA-PBE)

Data for TcOs2Rh2 after structural relaxation.

```
TcOs2Rh2
1.0
7.428 0.000 0.000
0.000 7.428 0.000
0.000 0.000 2.714
Tc Os Rh
2 4 4
direct
0.000 0.000 0.000 Tc
0.500 0.500 0.000 Tc
0.175 0.325 0.500 Os
0.325 0.825 0.500 Os
0.675 0.175 0.500 Os
0.825 0.675 0.500 Os
0.123 0.623 0.000 Rh
0.377 0.123 0.000 Rh
0.623 0.877 0.000 Rh
0.877 0.377 0.000 Rh
```

Output
Total DFT energy (no corrections) in eV/cell: -90.937
Magnetic moment in μB per cell: 0.00
Crystal system: tetragonal
Density in Mg/m³: 15.177
Symmetry: P4/mbm, No. 127
Formation energy in eV/f.u.: 2.06